## Sc6Se7 (PBE)

Data for a relaxed structure of Sc6Se7.

Properties
calculated density	3.8	Mg/m³
SG	R-3m
crystal system	trigonal
calculated total energy	-5.548	eV per atom
energy relative to the elements, uncorrected	-0.7491	eV per atom

Unit cell a=10.859 b=10.859 c=10.859 alpha=34.31 beta=34.31 gamma=34.31
Site moments in Bohr magnetons follow the coordinates.
Fractional coordinates of all 13 atoms:
Se 0.442 0.927 0.442  -0.01
Se 0.442 0.442 0.927  -0.01
Se 0.558 0.558 0.073  -0.01
Se 0.073 0.558 0.558  -0.01
Se 0.500 0.500 0.500  -0.01
Se 0.927 0.442 0.442  -0.01
Se 0.558 0.073 0.558  -0.01
Sc 0.668 0.668 0.668  0.03
Sc 0.332 0.332 0.332  0.03
Sc 0.782 0.782 0.782  0.05
Sc 0.948 0.948 0.948  0.26
Sc 0.052 0.052 0.052  0.26
Sc 0.218 0.218 0.218  0.05